VASP calculation (PBE-GGA) on K2PuUO6 after structural relaxation.

Structure (POSCAR):
```
K2PuUO6
1.0
6.1035 -0.0003 -0.0003
0.0003 6.1041 -0.0004
3.0519 3.0518 4.3157
K Pu U O
2 1 1 6
Cartesian
3.0519 6.1040 2.1574 K
6.1038 3.0516 2.1577 K
0.0000 0.0000 0.0000 Pu
3.0519 3.0519 -0.0003 U
4.6153 7.5922 4.3153 O
4.5407 4.5404 -0.0003 O
3.0519 3.0521 2.1047 O
4.5403 1.5633 -0.0002 O
4.6150 4.6152 4.3153 O
6.1038 6.1035 2.2103 O
```

Output
Total magnetic moment in μB per formula unit: 4.059
VASP energy in eV/atom: -8.54
DOS at the Fermi energy in states/eV per cell: 4.22
Space group: Fm-3m, No. 225
Density in g/cm³: 6.78


VASP calculation (PBE-GGA) on CePr2PaP4 after structural relaxation.

Structure (POSCAR):
```
CePr2PaP4
1.0
-0.2784 1.6488 3.7484
-5.7840 -3.9279 1.2981
5.8053 -3.6023 2.0157
Ce Pr Pa P
1 2 1 4
Cartesian
-3.0312 -1.1396 2.5233 Ce
2.7634 -0.9768 2.8820 Pr
0.0107 -3.7651 1.6569 Pr
0.0000 0.0000 0.0000 Pa
-0.1679 -0.9505 2.6528 P
-0.0891 -4.9309 4.4094 P
3.0036 -3.7307 1.8641 P
-2.9822 -3.7995 1.4497 P
```

Output
Total magnetic moment in μB per formula unit: 0.460
VASP energy in eV/atom: -7.30
E_form in eV/atom: -1.471
DOS at the Fermi energy in states/eV per cell: 8.52
Space group: P2/m, No. 10
Density in g/cm³: 6.58


VASP calculation (PBE-GGA) on MgTl2Te after structural relaxation.

Structure (POSCAR):
```
MgTl2Te
1.0
-4.3115 -1.8127 3.1414
-2.7209 3.5866 3.3878
-5.2572 1.6052 -1.2366
Tl Te Mg
2 1 1
Cartesian
-3.0724 0.8448 1.3231 Tl
-9.2172 2.5343 3.9694 Tl
-6.1448 1.6895 2.6463 Te
0.0000 0.0000 0.0000 Mg
```

Output
Total magnetic moment in μB per formula unit: 0.000
VASP energy in eV/atom: -2.41
Offset from the most stable computed form in meV per atom: 198.2
DOS at the Fermi energy in states/eV per cell: 0.67
Space group: Fm-3m, No. 225
Density in g/cm³: 7.36


VASP calculation (PBE-GGA) on Tb2TaBr after structural relaxation.

Structure (POSCAR):
```
Tb2TaBr
1.0
3.2834 0.0000 0.0000
1.6417 2.8435 0.0000
1.6417 0.9478 10.7985
Tb Br Ta
2 1 1
Cartesian
1.6417 0.9478 7.8155 Tb
4.9252 2.8435 2.9830 Tb
3.2834 1.8957 5.3992 Br
0.0000 0.0000 0.0000 Ta
```

Output
Total magnetic moment in μB per formula unit: 0.914
VASP energy in eV/atom: -5.53
DOS at the Fermi energy in states/eV per cell: 3.66
Space group: R-3m, No. 166
Density in g/cm³: 9.53


VASP calculation (PBE-GGA) on Ba2NbF8 after structural relaxation.

Structure (POSCAR):
```
Ba2NbF8
1.0
4.0791 -0.0378 -0.9395
-0.8375 5.0072 -1.5974
0.1130 0.1726 8.6889
Nb Ba F
1 2 8
Cartesian
0.2626 0.1671 -0.1212 Nb
1.1516 1.8654 4.9505 Ba
2.1801 3.4425 1.1473 Ba
3.4517 0.7023 5.8959 F
-0.0200 1.6714 1.2293 F
0.4720 4.0060 3.1260 F
1.5119 4.6163 -2.0064 F
2.8188 1.3125 2.9776 F
3.4308 3.4467 5.2317 F
-0.1649 4.2260 0.0346 F
1.2661 1.7531 -0.9236 F
```

Output
Total magnetic moment in μB per formula unit: 1.000
VASP energy in eV/atom: -6.08
DOS at the Fermi energy in states/eV per cell: 4.60
Space group: Cm, No. 8
Density in g/cm³: 4.82


VASP calculation (PBE-GGA) on NaSrEuBi after structural relaxation.

Structure (POSCAR):
```
NaSrEuBi
1.0
-0.0936 -3.0914 -4.9737
1.1749 -5.7370 0.0953
-4.2803 -3.8821 -0.9550
Eu Sr Bi Na
1 1 1 1
Cartesian
-2.3992 -9.5329 -4.3750 Eu
-0.7997 -3.1776 -1.4583 Sr
-1.5995 -6.3553 -2.9167 Bi
0.0000 0.0000 0.0000 Na
```

Output
Total magnetic moment in μB per formula unit: 7.141
VASP energy in eV/atom: -4.73
E_form in eV/atom: -0.437
DOS at the Fermi energy in states/eV per cell: 2.22
Space group: F-43m, No. 216
Density in g/cm³: 5.51


VASP calculation (PBE-GGA) on B2C after structural relaxation.

Structure (POSCAR):
```
B2C
1.0
-1.6788 -1.9506 0.9027
3.5460 -2.6292 0.9134
0.3785 2.6934 6.5240
B C
8 4
Cartesian
2.4143 -2.2694 3.7061 B
1.3822 -1.9979 2.3733 B
1.2746 0.3665 7.2823 B
2.5888 -0.1079 4.5814 B
0.9288 0.3736 2.5348 B
3.3208 -1.7787 2.3323 B
0.5095 2.4785 6.3034 B
2.4302 -1.6607 0.9309 B
0.1323 0.9436 6.4049 C
1.3389 0.7276 4.0622 C
0.0088 0.3729 4.9420 C
2.3706 -1.5677 5.1410 C
```

Output
Total magnetic moment in μB per formula unit: 0.000
VASP energy in eV/atom: -7.14
Offset from the most stable computed form in meV per atom: 203.0
E_form in eV/atom: 0.388
DOS at the Fermi energy in states/eV per cell: 2.28
Space group: Pm, No. 6
Density in g/cm³: 2.57


VASP calculation (PBE-GGA) on SmThAu3 after structural relaxation.

Structure (POSCAR):
```
SmThAu3
1.0
-0.1471 -0.2941 -3.5700
2.5366 -3.9613 0.2218
-11.9720 -7.5032 2.9115
Sm Th Au
2 2 6
Cartesian
-3.0623 -6.1242 0.6306 Sm
-6.5202 -5.6345 -1.0673 Sm
-8.4729 -9.6608 -0.6552 Th
-1.1096 -2.0978 0.2185 Th
-1.0801 -4.9656 -1.3466 Au
-8.5024 -6.7930 0.9099 Au
1.2373 -3.4937 -1.5633 Au
-10.8199 -8.2649 1.1267 Au
-3.7982 -3.9057 -1.3219 Au
-5.7843 -7.8529 0.8852 Au
```

Output
Total magnetic moment in μB per formula unit: 0.000
VASP energy in eV/atom: -5.13
E_form in eV/atom: -0.732
DOS at the Fermi energy in states/eV per cell: 5.28
Space group: Cmcm, No. 63
Density in g/cm³: 13.38


VASP calculation (PBE-GGA) on CaPdPb after structural relaxation.

Structure (POSCAR):
```
CaPdPb
1.0
-0.6104 1.2612 4.4855
-7.1992 -1.3554 -0.5986
1.3003 -7.9750 2.4194
Pb Ca Pd
4 4 4
Cartesian
-2.0819 -4.0561 4.5496 Pb
-4.4274 -4.0130 1.7567 Pb
-5.2169 -7.5835 5.1148 Pb
-1.2924 -0.4857 1.1915 Pb
-3.6574 -1.2204 3.5379 Ca
-2.8519 -6.8488 2.7685 Ca
0.5923 -5.2183 2.7787 Ca
-7.1016 -2.8509 3.5276 Ca
-0.9150 -6.4614 5.3847 Pd
-4.8805 -4.8952 4.4047 Pd
-5.5943 -1.6077 0.9216 Pd
-1.6288 -3.1740 1.9016 Pd
```

Output
Total magnetic moment in μB per formula unit: 0.000
VASP energy in eV/atom: -4.26
E_form in eV/atom: -0.623
DOS at the Fermi energy in states/eV per cell: 5.98
Space group: Pnma, No. 62
Density in g/cm³: 8.06


VASP calculation (PBE-GGA) on Ba5AsI4 after structural relaxation.

Structure (POSCAR):
```
Ba5AsI4
1.0
-4.9041 -2.0718 4.4796
3.0215 -4.5697 6.5977
-1.4745 5.5598 6.3604
Ba As I
5 1 4
Cartesian
-4.5255 1.0363 11.7458 Ba
0.2333 -0.8435 10.6828 Ba
-3.6003 -0.2424 6.7640 Ba
1.1585 -2.1222 5.7009 Ba
-2.4575 -1.0382 2.2448 Ba
-0.0053 -0.0023 0.0049 As
-1.9567 1.6804 9.4527 I
-2.4870 -1.9171 12.6117 I
-0.8802 0.8311 4.8351 I
-1.4104 -2.7663 7.9941 I
```

Output
Total magnetic moment in μB per formula unit: 0.000
VASP energy in eV/atom: -3.41
DOS at the Fermi energy in states/eV per cell: 6.83
Space group: I4/m, No. 87
Density in g/cm³: 4.93


VASP calculation (PBE-GGA) on TaSeBr2 after structural relaxation.

Structure (POSCAR):
```
TaSeBr2
1.0
-2.4291 -0.8184 4.1303
-3.5718 -3.2956 0.1069
0.6227 -4.1823 2.3981
Br Se Ta
2 1 1
Cartesian
0.0000 0.0000 0.0000 Br
-1.3445 -2.0741 1.6588 Br
-2.6891 -4.1481 3.3176 Se
-4.0336 -6.2222 4.9765 Ta
```

Output
Total magnetic moment in μB per formula unit: 0.830
VASP energy in eV/atom: -4.29
Offset from the most stable computed form in meV per atom: 1055.4
DOS at the Fermi energy in states/eV per cell: 2.16
Space group: F-43m, No. 216
Density in g/cm³: 8.58


VASP calculation (PBE-GGA) on ReNi after structural relaxation.

Structure (POSCAR):
```
ReNi
1.0
2.5860 0.0000 -0.0036
0.0000 4.0948 0.0000
-1.0169 0.0000 4.8644
Re Ni
2 2
Cartesian
0.8053 1.0237 0.7333 Re
0.7639 3.0711 4.1274 Re
-0.4895 1.0237 3.0406 Ni
2.0587 3.0711 1.8201 Ni
```

Output
Total magnetic moment in μB per formula unit: 0.000
VASP energy in eV/atom: -9.14
E_form in eV/atom: -0.028
DOS at the Fermi energy in states/eV per cell: 2.66
Space group: P2_1/m, No. 11
Density in g/cm³: 15.79


- Which of these has the lowest VASP energy?
  ReNi


- The highest VASP energy belongs to which entry?
  MgTl2Te


- What is the formula in the fourth record?
  Tb2TaBr


- Which value of total magnetic moment does entry 10 give?
  0.000 μB per formula unit